Record 1
The following is a DFT calculation (PBE-GGA) of an optimized crystal structure of Pr3Cd5.

Properties
The value obtained for the calculated density is 7.36 Mg/m³. Its formation energy is -0.287 eV per atom. For the volume, the calculation gives 27.8 Å³/atom. As for the final energy: -2.65 eV/atom. As for the total moment: 0.0000 μB/atom.

Lattice parameters (Å, degrees): 5.2656 6.6862 6.6862 109.33 90.00 90.00
Last column: nearest neighbours and their distance in Å.
Fractional coordinates of all 8 atoms:
Pr  0.5000  0.2237  0.7763  8 Cd 3.18-3.53
Pr  0.0000  0.5000  0.5000  8 Cd 3.21-3.34
Pr  0.5000  0.7763  0.2237  8 Cd 3.18-3.53
Cd  0.0000  0.5000  0.0000  6 Pr 3.28-3.34, 2 Cd 3.34
Cd  0.5000  0.2627  0.2627  6 Pr 3.18-3.53, 2 Cd 3.33
Cd  0.0000  0.0000  0.0000  8 Cd 3.33-3.34, 4 Pr 3.59
Cd  0.5000  0.7373  0.7373  6 Pr 3.18-3.53, 2 Cd 3.33
Cd  0.0000  0.0000  0.5000  6 Pr 3.28-3.34, 2 Cd 3.34

***

Record 2
The following is a DFT calculation (PBE-GGA) of an optimized crystal structure of BaPm2In.

Properties
The value obtained for the calculated density is 5.94 Mg/m³. Its formation energy is 0.054 eV per atom. For the volume, the calculation gives 37.9 Å³/atom. As for the final energy: -3.49 eV/atom. As for the total moment: 0.0000 μB/atom.

Lattice parameters (Å, degrees): 3.7802 3.7802 12.4363 81.26 81.26 60.00
Last column: nearest neighbours and their distance in Å.
Fractional coordinates of all 4 atoms:
Ba  0.0000  0.0000  0.0000  2 Pm 3.72, 6 Ba 3.78
In  0.5000  0.5000  0.5000  6 Pm 3.24
Pm  0.1013  0.1013  0.6960  3 In 3.24
Pm  0.8987  0.8987  0.3040  3 In 3.24

***

Record 3
The following is a DFT calculation (PBE-GGA) of an optimized crystal structure of VSeIBr2.

Properties
The value obtained for the calculated density is 5.49 Mg/m³. For the volume, the calculation gives 25.2 Å³/atom. As for the final energy: -3.59 eV/atom. As for the total moment: 0.0000 μB/atom. Its formation energy (no corrections) is -0.0908 eV per atom.

Lattice parameters (Å, degrees): 5.0293 5.0293 4.9800 90.00 90.00 90.00
Last column: nearest neighbours and their distance in Å.
Fractional coordinates of all 5 atoms:
Se  0.0000  0.0000  0.5000  2 V 2.49
V  0.0000  0.0000  0.0000  2 Se 2.49, 4 Br 2.51
Br  0.0000  0.5000  0.0000  2 V 2.51
Br  0.5000  0.0000  0.0000  2 V 2.51
I  0.5000  0.5000  0.5000  8 Br 3.54, 4 Se 3.56

***

Record 4
The following is a DFT calculation (PBE-GGA) of an optimized crystal structure of Pm5CoPb4.

Properties
The value obtained for the calculated density is 8.76 Mg/m³. Its formation energy is -0.254 eV per atom. For the volume, the calculation gives 30.6 Å³/atom. As for the final energy: -4.82 eV/atom. As for the total moment: 0.0000 μB/atom.

Lattice parameters (Å, degrees): 6.3228 7.6382 7.6382 80.14 65.55 65.55
Last column: nearest neighbours and their distance in Å.
Fractional coordinates of all 10 atoms:
Pb  0.1722  0.2611  0.3976  6 Pm 3.23-3.31, 1 Pb 3.61
Pb  0.4333  0.3976  0.7389  6 Pm 3.23-3.31, 1 Pb 3.61
Pb  0.5698  0.6024  0.2611  6 Pm 3.23-3.31, 1 Pb 3.61
Pb  0.8309  0.7389  0.6024  6 Pm 3.23-3.31, 1 Pb 3.61
Co  0.9989  0.0000  0.0000  4 Pm 2.63
Pm  0.1072  0.6484  0.1402  1 Co 2.63
Pm  0.8958  0.3516  0.8598  1 Co 2.63
Pm  0.2474  0.8598  0.6484  1 Co 2.63
Pm  0.4990  0.0000  0.0000  2 Co 3.16, 4 Pb 3.31
Pm  0.7556  0.1402  0.3516  1 Co 2.63

***

Record 5
The following is a DFT calculation (PBE-GGA) of an optimized crystal structure of Ta2MoAs.

Properties
The value obtained for the calculated density is 13.13 Mg/m³. Its formation energy is -0.136 eV per atom. For the volume, the calculation gives 16.8 Å³/atom. As for the final energy: -9.93 eV/atom. As for the total moment: 0.0000 μB/atom.

Lattice parameters (Å, degrees): 3.3834 3.3834 5.8864 90.00 90.00 90.00
Last column: nearest neighbours and their distance in Å.
Fractional coordinates of all 4 atoms:
As  0.5000  0.5000  0.2500  8 Ta 2.80, 2 Mo 2.94
Mo  0.5000  0.5000  0.7500  8 Ta 2.82, 2 As 2.94
Ta  0.0000  0.0000  0.0033  4 As 2.80, 4 Mo 2.82, 2 Ta 2.90-2.98
Ta  0.0000  0.0000  0.4967  4 As 2.80, 4 Mo 2.82, 2 Ta 2.90-2.98

***

Record 6
The following is a DFT calculation (PBE-GGA) of an optimized crystal structure of KTl2VS4.

Properties
The value obtained for the calculated density is 4.07 Mg/m³. For the volume, the calculation gives 32.0 Å³/atom. As for the final energy: -4.70 eV/atom. As for the total moment: 0.0000 μB/atom. Its formation energy (no corrections) is -0.7671 eV per atom.

Lattice parameters (Å, degrees): 6.3112 9.2251 8.7982 90.00 90.00 90.00
Last column: nearest neighbours and their distance in Å.
Fractional coordinates of all 16 atoms:
S  0.9432  0.9844  0.0000  1 V 2.15
S  0.8810  0.7787  0.5000  1 V 2.18
S  0.4383  0.6815  0.7083  1 V 2.18
S  0.4383  0.6815  0.2917  1 V 2.18
S  0.9383  0.3185  0.7917  1 V 2.18
S  0.4432  0.0156  0.5000  1 V 2.15
S  0.9383  0.3185  0.2083  1 V 2.18
S  0.3810  0.2213  0.0000  1 V 2.18
V  0.5354  0.7916  0.5000  4 S 2.15-2.18
V  0.0354  0.2084  0.0000  4 S 2.15-2.18
Tl  0.4112  0.3404  0.2942  3 S 2.82-3.15
Tl  0.4112  0.3404  0.7058  3 S 2.82-3.15
Tl  0.9112  0.6596  0.2058  3 S 2.82-3.15
Tl  0.9112  0.6596  0.7942  3 S 2.82-3.15
K  0.9413  0.1062  0.5000  5 S 3.05-3.28
K  0.4413  0.8938  0.0000  5 S 3.05-3.28

***

Record 7
The following is a DFT calculation (PBE-GGA) of an optimized crystal structure of Y4BiBr2.

Properties
The value obtained for the calculated density is 4.86 Mg/m³. For the volume, the calculation gives 35.4 Å³/atom. As for the final energy: -5.02 eV/atom. As for the total moment: 0.1604 μB/atom. Its formation energy (no corrections) is -0.2950 eV per atom.

Lattice parameters (Å, degrees): 5.7998 5.7998 8.4246 69.87 69.87 90.00
Last column: nearest neighbours and their distance in Å.
Fractional coordinates of all 7 atoms:
Br  0.3985  0.3985  0.2031  1 Y 2.73, 1 Br 2.99
Br  0.6015  0.6015  0.7969  1 Y 2.73, 1 Br 2.99
Bi  0.0000  0.0000  0.0000  6 Y 2.90-3.14
Y  0.0000  0.5000  0.0000  2 Bi 2.90
Y  0.7867  0.7867  0.4266  1 Br 2.73
Y  0.5000  0.0000  0.0000  2 Bi 2.90
Y  0.2133  0.2133  0.5734  1 Br 2.73

***

Record 8
The following is a DFT calculation (PBE-GGA) of an optimized crystal structure of Na2Hf2Al.

Properties
The value obtained for the calculated density is 6.24 Mg/m³. Its formation energy is 0.965 eV per atom. For the volume, the calculation gives 22.9 Å³/atom. As for the final energy: -4.29 eV/atom. As for the total moment: 0.0000 μB/atom.

Lattice parameters (Å, degrees): 8.7372 8.7372 2.9996 90.00 90.00 90.00
Last column: nearest neighbours and their distance in Å.
Fractional coordinates of all 10 atoms:
Al  0.0000  0.0000  0.0000  2 Al 3.00
Al  0.5000  0.5000  0.0000  2 Al 3.00
Hf  0.6960  0.8040  0.5000  6 Na 2.89-3.12, 2 Hf 3.00
Hf  0.8040  0.3040  0.5000  6 Na 2.89-3.12, 2 Hf 3.00
Hf  0.3040  0.1960  0.5000  6 Na 2.89-3.12, 2 Hf 3.00
Hf  0.1960  0.6960  0.5000  6 Na 2.89-3.12, 2 Hf 3.00
Na  0.8963  0.6037  0.0000  1 Na 2.56
Na  0.3963  0.8963  0.0000  1 Na 2.56
Na  0.1037  0.3963  0.0000  1 Na 2.56
Na  0.6037  0.1037  0.0000  1 Na 2.56